1.
VASP calculation (GGA-PBE) on SiRhW2 after structural relaxation.

Output
M_tot in μB/atom: 0.000
Calculated density in g/cm3: 13.92
D(E_F) in states/eV per atom: 0.62
Uncorrected energy in eV per cell: -38.94
Space-group type: P4mm, No. 99

Cell: 3.1915 3.1915 5.8412 Å, 90.00 90.00 90.00°
Element x y z (fractional)
Si: 0.0000 0.0000 0.0000
Rh: 0.5000 0.5000 0.7781
W: 0.0000 0.0000 0.4908
W: 0.5000 0.5000 0.2481

=====

2.
VASP calculation (GGA-PBE) on PmEr2OsN4 after structural relaxation.

Output
M_tot in μB/atom: 0.000
Calculated density in g/cm3: 10.51
D(E_F) in states/eV per atom: 0.35
Uncorrected energy in eV per cell: -132.69
Space-group type: Cmcm, No. 63

Cell: 6.0558 6.0558 11.5711 Å, 90.00 90.00 147.29°
Element x y z (fractional)
Pm: 0.1220 0.8780 0.7500
Pm: 0.8780 0.1220 0.2500
Er: 0.3687 0.6313 0.5409
Er: 0.3687 0.6313 0.9591
Er: 0.6313 0.3687 0.0409
Er: 0.6313 0.3687 0.4591
Os: 0.1403 0.8597 0.2500
Os: 0.8597 0.1403 0.7500
N: 0.0000 0.0000 0.0000
N: 0.0000 0.0000 0.5000
N: 0.2660 0.7340 0.1269
N: 0.2660 0.7340 0.3731
N: 0.4453 0.5547 0.7500
N: 0.5547 0.4453 0.2500
N: 0.7340 0.2660 0.6269
N: 0.7340 0.2660 0.8731

=====

3.
VASP calculation (GGA-PBE) on Pr2YNi after structural relaxation.

Output
M_tot in μB/atom: 0.000
Calculated density in g/cm3: 6.25
D(E_F) in states/eV per atom: 2.01
Uncorrected energy in eV per cell: -21.96
Relative energy among the computed polymorphs in kJ/mol of formula units: 53.4
Formation energy from the elements in eV per atom: -0.0398
Space-group type: P4/mmm, No. 123

Cell: 3.5945 3.5945 8.8306 Å, 90.00 90.00 90.00°
Element x y z (fractional)
Pr: 0.0000 0.0000 0.1908
Pr: 0.0000 0.0000 0.8092
Y: 0.5000 0.5000 0.5000
Ni: 0.5000 0.5000 0.0000

=====

4.
VASP calculation (GGA-PBE) on CaAcTl6 after structural relaxation.

Output
M_tot in μB/atom: 0.000
Calculated density in g/cm3: 10.30
D(E_F) in states/eV per atom: 0.66
Uncorrected energy in eV per cell: -22.46
Relative energy among the computed polymorphs in kJ/mol of formula units: 0.0
Formation energy from the elements in eV per atom: -0.2693
Space-group type: P4/mmm, No. 123

Cell: 4.9501 4.9501 9.8302 Å, 90.00 90.00 90.00°
Element x y z (fractional)
Ca: 0.0000 0.0000 0.0000
Ac: 0.0000 0.0000 0.5000
Tl: 0.0000 0.5000 0.2414
Tl: 0.0000 0.5000 0.7586
Tl: 0.5000 0.0000 0.2414
Tl: 0.5000 0.0000 0.7586
Tl: 0.5000 0.5000 0.0000
Tl: 0.5000 0.5000 0.5000

=====

5.
VASP calculation (GGA-PBE) on In2CoHgGe after structural relaxation.

Output
M_tot in μB/atom: 0.000
Calculated density in g/cm3: 8.17
D(E_F) in states/eV per atom: 0.41
Uncorrected energy in eV per cell: -17.52
Formation energy from the elements in eV per atom: -0.0029
Space-group type: P4/mmm, No. 123

Cell: 5.0591 5.0591 4.4603 Å, 90.00 90.00 90.00°
Element x y z (fractional)
In: 0.0000 0.5000 0.0000
In: 0.5000 0.0000 0.0000
Co: 0.0000 0.0000 0.0000
Hg: 0.5000 0.5000 0.5000
Ge: 0.0000 0.0000 0.5000

=====

6.
VASP calculation (GGA-PBE) on PmSm6Dy3Er2 after structural relaxation.

Output
M_tot in μB/atom: 0.000
Calculated density in g/cm3: 7.94
D(E_F) in states/eV per atom: 1.22
Uncorrected energy in eV per cell: -55.82
Formation energy from the elements in eV per atom: 0.0144
Space-group type: C2/m, No. 12

Cell: 6.2182 6.2182 11.8577 Å, 95.00 95.00 119.98°
Element x y z (fractional)
Pm: 0.0000 0.0000 0.0000
Sm: 0.0840 0.4180 0.2505
Sm: 0.2500 0.2500 0.7496
Sm: 0.4180 0.0840 0.2505
Sm: 0.5820 0.9160 0.7495
Sm: 0.7500 0.7500 0.2504
Sm: 0.9160 0.5820 0.7495
Dy: 0.1669 0.8331 0.5000
Dy: 0.5000 0.5000 0.5000
Dy: 0.8331 0.1669 0.5000
Er: 0.3334 0.6666 0.0000
Er: 0.6666 0.3334 0.0000

=====

7.
VASP calculation (GGA-PBE) on Ca2BeNi2 after structural relaxation.

Output
M_tot in μB/atom: 0.000
Calculated density in g/cm3: 3.79
D(E_F) in states/eV per atom: 0.92
Uncorrected energy in eV per cell: -37.83
Formation energy from the elements in eV per atom: 0.0756
Space-group type: P4/mbm, No. 127

Cell: 6.4130 6.4130 4.3992 Å, 90.00 90.00 90.00°
Element x y z (fractional)
Ca: 0.1784 0.3216 0.0000
Ca: 0.3216 0.8216 0.0000
Ca: 0.6784 0.1784 0.0000
Ca: 0.8216 0.6784 0.0000
Be: 0.0000 0.0000 0.5000
Be: 0.5000 0.5000 0.5000
Ni: 0.1336 0.6336 0.5000
Ni: 0.3664 0.1336 0.5000
Ni: 0.6336 0.8664 0.5000
Ni: 0.8664 0.3664 0.5000

=====

8.
VASP calculation (GGA-PBE) on LuThP after structural relaxation.

Output
M_tot in μB/atom: 0.024
Calculated density in g/cm3: 8.74
D(E_F) in states/eV per atom: 0.72
Uncorrected energy in eV per cell: -19.85
Formation energy from the elements in eV per atom: -0.8314
Space-group type: P3m1, No. 156

Cell: 3.8411 3.8411 6.5103 Å, 90.00 90.00 120.00°
Element x y z (fractional)
Lu: 0.0000 0.0000 0.0000
Th: 0.6667 0.3333 0.4867
P: 0.3333 0.6667 0.7629

=====

9.
VASP calculation (GGA-PBE) on Cs2PtPbBr6 after structural relaxation.

Output
M_tot in μB/atom: 0.000
Calculated density in g/cm3: 5.35
D(E_F) in states/eV per atom: 0.45
Uncorrected energy in eV per cell: -31.44
Space-group type: I4/mmm, No. 139

Cell: 7.9641 7.9641 7.9641 Å, 120.15 120.15 89.73°
Element x y z (fractional)
Cs: 0.2500 0.7500 0.5000
Cs: 0.7500 0.2500 0.5000
Pt: 0.0000 0.0000 0.0000
Pb: 0.5000 0.5000 0.0000
Br: 0.2343 0.2343 0.4687
Br: 0.2343 0.7657 0.0000
Br: 0.2359 0.2359 0.0000
Br: 0.7641 0.7641 0.0000
Br: 0.7657 0.2343 0.0000
Br: 0.7657 0.7657 0.5313

=====

10.
VASP calculation (GGA-PBE) on Cs2HgN2 after structural relaxation.

Output
M_tot in μB/atom: 0.181
Calculated density in g/cm3: 4.74
D(E_F) in states/eV per atom: 1.08
Uncorrected energy in eV per cell: -38.39
Relative energy among the computed polymorphs in kJ/mol of formula units: 0.0
Space-group type: P4/mbm, No. 127

Cell: 9.1446 9.1446 4.1401 Å, 90.00 90.00 90.00°
Element x y z (fractional)
Cs: 0.2372 0.2628 0.0000
Cs: 0.2628 0.7628 0.0000
Cs: 0.7372 0.2372 0.0000
Cs: 0.7628 0.7372 0.0000
Hg: 0.0000 0.0000 0.5000
Hg: 0.5000 0.5000 0.5000
N: 0.0452 0.5452 0.5000
N: 0.4548 0.0452 0.5000
N: 0.5452 0.9548 0.5000
N: 0.9548 0.4548 0.5000

=====

11.
VASP calculation (GGA-PBE) on TmNbTcOs after structural relaxation.

Output
M_tot in μB/atom: 0.000
Calculated density in g/cm3: 13.12
D(E_F) in states/eV per atom: 0.77
Uncorrected energy in eV per cell: -36.98
Formation energy from the elements in eV per atom: -0.2100
Space-group type: F-43m, No. 216

Cell: 4.6172 4.6172 4.6172 Å, 60.00 60.00 60.00°
Element x y z (fractional)
Tm: 0.0000 0.0000 0.0000
Nb: 0.5000 0.5000 0.5000
Tc: 0.2500 0.2500 0.2500
Os: 0.7500 0.7500 0.7500

=====

12.
VASP calculation (GGA-PBE) on NdMgPb after structural relaxation.

Output
M_tot in μB/atom: 0.000
Calculated density in g/cm3: 7.32
D(E_F) in states/eV per atom: 0.33
Uncorrected energy in eV per cell: -22.99
Formation energy from the elements in eV per atom: -0.4752
Space-group type: I4/mmm, No. 139

Cell: 8.8023 8.8023 8.8023 Å, 149.95 149.95 43.01°
Element x y z (fractional)
Nd: 0.1629 0.1629 0.0000
Nd: 0.8371 0.8371 0.0000
Mg: 0.0000 0.5000 0.5000
Mg: 0.5000 0.0000 0.5000
Pb: 0.3642 0.3642 0.0000
Pb: 0.6358 0.6358 0.0000